Below is crystalline YMg4Cu2 at its relaxed geometry, with properties calculated at the PBE level. Values from VASP.

Summary:
Spin magnetization   0.07 μB/cell
Calculated total energy   -2.204 eV/atom
E_form   0.801 eV/atom
Polymorph energy (0 for the lowest one)   0.922 eV/atom
Symmetry   I4/mmm, No. 139
N(E_F)   5.10 states/eV per cell

Quantum ESPRESSO input file:
```
&SYSTEM
  ibrav = 0, nat = 7, ntyp = 3
/
ATOMIC_SPECIES
Y 88.91 Y.upf
Mg 24.30 Mg.upf
Cu 63.55 Cu.upf
ATOMIC_POSITIONS crystal
Y 0.000 0.000 0.000
Mg 0.500 0.000 0.500
Mg 0.000 0.500 0.500
Mg 0.231 0.231 0.000
Mg 0.769 0.769 0.000
Cu 0.416 0.416 0.000
Cu 0.584 0.584 0.000
CELL_PARAMETERS angstrom
-2.749 2.749 6.828
2.749 -2.749 6.828
2.749 2.749 -6.828
```